[1]
This record from Alexandria via LeMat-Bulk describes a relaxed Hf3Cr5N12 crystal. The functional is PBE-GGA.

Values from the calculation:
DOS(E_F)	3.540	states/eV/f.u.
crystal system	cubic
formation energy without anion corrections	-13.9	eV/f.u.

POSCAR file:
```
Hf3Cr5N12
1.0
-5.969 5.969 5.969
5.969 -5.969 5.969
5.969 5.969 -5.969
Hf Cr N
12 20 48
Cartesian
2.985 1.492 0.000
5.969 2.985 -1.492
1.492 0.000 2.985
7.461 0.000 2.985
0.000 2.985 1.492
2.985 -1.492 5.969
2.985 7.461 0.000
5.969 2.985 4.477
-1.492 5.969 2.985
4.477 5.969 2.985
0.000 2.985 7.461
2.985 4.477 5.969
0.000 0.000 0.000
2.985 2.985 -2.985
2.985 -2.985 2.985
5.969 0.000 0.000
8.954 1.492 0.000
5.969 -2.985 4.477
4.477 5.969 -2.985
4.477 0.000 2.985
2.985 4.477 0.000
5.969 2.985 1.492
-2.985 2.985 2.985
0.000 5.969 0.000
0.000 0.000 5.969
2.985 2.985 2.985
0.000 2.985 4.477
2.985 1.492 5.969
1.492 5.969 2.985
1.492 0.000 8.954
0.000 8.954 1.492
-2.985 4.477 5.969
1.838 -0.364 0.701
7.115 3.686 -3.349
7.808 0.364 0.701
7.115 -2.284 3.349
5.605 -0.701 1.838
9.318 -1.146 2.284
0.701 1.838 -0.364
8.253 2.620 -1.146
3.686 3.349 -1.146
5.268 1.838 0.364
-0.364 0.701 1.838
3.349 -1.146 3.686
5.605 5.268 -1.838
3.349 1.146 2.284
3.686 -3.349 7.115
5.268 -1.838 5.605
2.284 3.349 1.146
6.670 4.131 0.364
3.349 7.115 -2.284
5.605 0.701 4.131
1.838 5.605 -0.701
7.115 2.284 2.620
1.146 2.284 3.349
1.838 0.364 5.268
4.131 5.605 0.701
4.823 3.686 2.620
-1.146 3.686 3.349
4.131 0.364 6.670
0.364 5.268 1.838
2.620 -1.146 8.253
-0.701 1.838 5.605
3.686 2.620 4.823
0.701 7.808 0.364
2.284 9.318 -1.146
2.620 4.823 3.686
0.364 0.701 7.808
2.620 7.115 2.284
6.333 5.268 4.131
0.701 4.131 5.605
2.284 2.620 7.115
-2.284 3.349 7.115
5.268 4.131 6.333
-3.349 7.115 3.686
0.364 6.670 4.131
-1.146 8.253 2.620
-1.838 5.605 5.268
-1.146 2.284 9.318
4.131 6.333 5.268
```


[2]
This record from Alexandria via LeMat-Bulk describes a relaxed Hf2CrN crystal. The functional is PBE-GGA.

Values from the calculation:
DOS(E_F)	3.078	states/eV/f.u.
crystal system	tetragonal
formation energy without anion corrections	-0.6	eV/f.u.

POSCAR file:
```
Hf2CrN
1.0
-3.181 3.181 3.537
3.181 -3.181 3.537
3.181 3.181 -3.537
Hf Cr N
4 2 2
Cartesian
4.772 1.015 -0.884
1.015 1.591 0.884
-1.591 2.166 2.653
2.166 1.591 4.421
3.181 0.000 1.768
0.000 0.000 3.537
0.000 0.000 0.000
0.000 3.181 1.768
```


[3]
This record from Alexandria via LeMat-Bulk describes a relaxed Hf3CrN crystal. The functional is PBE-GGA.

Values from the calculation:
DOS(E_F)	3.955	states/eV/f.u.
crystal system	cubic
formation energy without anion corrections	-2.6	eV/f.u.

POSCAR file:
```
Hf3CrN
1.0
4.373 0.000 0.000
0.000 4.373 0.000
0.000 0.000 4.373
Hf Cr N
3 1 1
Cartesian
0.000 0.000 2.187
0.000 2.187 0.000
2.187 0.000 0.000
2.187 2.187 2.187
0.000 0.000 0.000
```


[4]
This record from Alexandria via LeMat-Bulk describes a relaxed NdHfCrN3 crystal. The functional is PBE-GGA.

Values from the calculation:
DOS(E_F)	2.206	states/eV/f.u.
crystal system	monoclinic
formation energy without anion corrections	-6.9	eV/f.u.

POSCAR file:
```
NdHfCrN3
1.0
7.210 0.000 0.000
0.000 3.261 0.000
-1.731 0.000 7.035
Nd Hf Cr N
2 2 2 6
Cartesian
1.188 0.815 1.390
4.291 2.446 5.645
0.004 0.815 4.567
5.476 2.446 2.468
1.308 2.446 6.479
4.171 0.815 0.556
-0.494 2.446 6.098
0.328 2.446 3.123
2.178 0.815 5.675
3.301 2.446 1.360
5.152 0.815 3.912
5.974 0.815 0.937
```


[5]
This record from Alexandria via LeMat-Bulk describes a relaxed HfCrNi2N crystal. The functional is PBE-GGA.

Values from the calculation:
DOS(E_F)	4.114	states/eV/f.u.
crystal system	tetragonal
formation energy without anion corrections	-0.8	eV/f.u.

POSCAR file:
```
HfCrNi2N
1.0
3.867 0.000 0.000
0.000 3.867 0.000
0.000 0.000 4.259
Hf Cr Ni N
1 1 2 1
Cartesian
0.000 0.000 0.000
1.933 1.933 0.000
0.000 1.933 2.130
1.933 0.000 2.130
0.000 0.000 2.130
```


[6]
This record from Alexandria via LeMat-Bulk describes a relaxed HfNp2CrN5 crystal. The functional is PBE-GGA.

Values from the calculation:
DOS(E_F)	11.893	states/eV/f.u.
crystal system	orthorhombic
formation energy without anion corrections	-9.8	eV/f.u.

POSCAR file:
```
HfNp2CrN5
1.0
1.612 -6.559 0.000
1.612 6.559 0.000
0.000 0.000 10.037
Hf Np Cr N
2 4 2 10
Cartesian
1.612 3.826 5.019
1.612 -3.826 0.000
1.612 5.178 1.817
1.612 4.676 7.970
1.612 -4.676 2.952
1.612 -5.178 6.836
1.612 0.269 9.590
1.612 -0.269 4.572
1.612 5.962 5.536
1.612 2.859 1.570
1.612 2.287 8.647
1.612 1.686 4.952
1.612 0.159 2.748
1.612 -0.159 7.767
1.612 -1.686 9.971
1.612 -2.287 3.629
1.612 -2.859 6.588
1.612 -5.962 0.518
```